#a
A relaxed HfCo3O crystal. Source: Alexandria, functional PBE+U.

Properties
Total magnetization: 4.5 μB/cell

a b c (Å): 3.9586 3.9586 3.9586
angles (deg): 90.00 90.00 90.00
Closest atoms and distances in Å follow each position.
Space group Pm-3m (No. 221)
Unique sites:
Hf: 0.0000 0.0000 0.0000 [1 per cell]  12 Co 2.80
Co: 0.0000 0.5000 0.5000 [3 per cell]  2 O 1.98
O: 0.5000 0.5000 0.5000 [1 per cell]  6 Co 1.98


#b
A relaxed HfCo3O crystal. Source: Alexandria, functional PBE+U.

Properties
Total magnetization: 3.0 μB/cell

a b c (Å): 4.5540 4.5540 4.5540
angles (deg): 90.00 90.00 90.00
Closest atoms and distances in Å follow each position.
Space group Pm-3m (No. 221)
Unique sites:
Hf: 0.0000 0.0000 0.0000 [1 per cell]  6 Co 2.28
Co: 0.0000 0.0000 0.5000 [3 per cell]  2 Hf 2.28
O: 0.5000 0.5000 0.5000 [1 per cell]  12 Co 3.22


The structures above, arranged from the most stable to the least stable: #a, #b.